1.
KErFeO3, optimized geometry, DFT PBE+U; space-group type = No. 11
1.0
-1.491 3.108 -0.650
-5.332 -1.589 4.627
7.535 4.491 4.192
K Er Fe O
2 2 2 6
Direct
0.750 0.791 0.832 K
0.250 0.209 0.168 K
0.250 0.676 0.140 Er
0.750 0.324 0.860 Er
0.250 0.043 0.618 Fe
0.750 0.957 0.382 Fe
0.250 0.820 0.401 O
0.750 0.905 0.165 O
0.750 0.466 0.109 O
0.750 0.180 0.599 O
0.250 0.534 0.891 O
0.250 0.095 0.835 O


2.
K2ErFeO4, optimized geometry, DFT PBE+U; space-group type = No. 15
1.0
6.531 0.037 0.324
0.032 6.531 0.324
-2.965 -2.967 5.637
K Er Fe O
4 2 2 8
Direct
0.500 0.000 0.000 K
0.500 0.000 0.500 K
0.000 0.000 0.500 K
0.500 0.500 0.000 K
0.000 0.500 0.000 Er
0.000 0.500 0.500 Er
0.500 0.500 0.500 Fe
0.000 0.000 0.000 Fe
0.143 0.736 0.889 O
0.764 0.357 0.611 O
0.236 0.643 0.389 O
0.857 0.264 0.111 O
0.847 0.812 0.068 O
0.688 0.653 0.432 O
0.312 0.347 0.568 O
0.153 0.188 0.932 O


Number 1: total energy -6.55 eV/atom, spin magnetization 4.0 μB/f.u.. Number 2: total energy -5.98 eV/atom, spin magnetization 2.9 μB/f.u..